# 1
{
  "formula": "Rb2SCl4",
  "functional": "PBE",
  "state": "relaxed",
  "lattice": [[-3.6830, 3.6830, 4.4824], [3.6830, -3.6830, 4.4824], [3.6830, 3.6830, -4.4824]],
  "species": ["Rb", "Rb", "S", "Cl", "Cl", "Cl", "Cl"],
  "fractional_positions": [[0.2500, 0.7500, 0.5000], [0.7500, 0.2500, 0.5000], [0.0000, 0.0000, 0.0000], [0.2280, 0.2280, 0.4560], [0.2280, 0.7720, 0.0000], [0.7720, 0.2280, 0.0000], [0.7720, 0.7720, 0.5440]],
  "raw_formation_energy_kj_per_mol_atoms": -112,
  "energy_ev_per_atom": -3.08
}

***

# 2
{
  "formula": "Rb6SCl4",
  "functional": "PBE",
  "state": "relaxed",
  "lattice": [[6.8967, 3.9818, 5.4868], [-6.8967, 3.9818, 5.4868], [0.0000, -7.9637, 5.4868]],
  "species": ["Rb", "Rb", "Rb", "Rb", "Rb", "Rb", "Rb", "Rb", "Rb", "Rb", "Rb", "Rb", "S", "S", "Cl", "Cl", "Cl", "Cl", "Cl", "Cl", "Cl", "Cl"],
  "fractional_positions": [[0.0432, 0.9370, 0.6902], [0.0630, 0.3098, 0.9568], [0.1902, 0.4370, 0.5432], [0.3098, 0.9568, 0.0630], [0.4370, 0.5432, 0.1902], [0.4568, 0.8098, 0.5630], [0.5432, 0.1902, 0.4370], [0.5630, 0.4568, 0.8098], [0.6902, 0.0432, 0.9370], [0.8098, 0.5630, 0.4568], [0.9370, 0.6902, 0.0432], [0.9568, 0.0630, 0.3098], [0.0000, 0.0000, 0.0000], [0.5000, 0.5000, 0.5000], [0.1013, 0.7500, 0.3987], [0.2500, 0.2500, 0.2500], [0.2500, 0.6013, 0.8987], [0.3987, 0.1013, 0.7500], [0.6013, 0.8987, 0.2500], [0.7500, 0.3987, 0.1013], [0.7500, 0.7500, 0.7500], [0.8987, 0.2500, 0.6013]],
  "raw_formation_energy_kj_per_mol_atoms": -154,
  "energy_ev_per_atom": -3.17
}

***

# 3
{
  "formula": "Rb2SCl",
  "functional": "PBE",
  "state": "relaxed",
  "lattice": [[-4.3358, 4.3358, 4.6792], [4.3358, -4.3358, 4.6792], [4.3358, 4.3358, -4.6792]],
  "species": ["Rb", "Rb", "Rb", "Rb", "S", "S", "Cl", "Cl"],
  "fractional_positions": [[0.1146, 0.6250, 0.9896], [0.3750, 0.3646, 0.4896], [0.6354, 0.1250, 0.0104], [0.8750, 0.8854, 0.5104], [0.2500, 0.7500, 0.5000], [0.5000, 0.5000, 0.0000], [0.0000, 0.0000, 0.0000], [0.7500, 0.2500, 0.5000]],
  "raw_formation_energy_kj_per_mol_atoms": -102,
  "energy_ev_per_atom": -3.03,
  "relative_energy_mev_per_atom": 87
}

***

# 4
{
  "formula": "Rb3SCl",
  "functional": "PBE",
  "state": "relaxed",
  "lattice": [[8.2226, -5.8578, 0.0000], [8.2226, 5.8578, 0.0000], [-0.3307, 0.0000, 8.7584]],
  "species": ["Rb", "Rb", "Rb", "Rb", "Rb", "Rb", "Rb", "Rb", "Rb", "Rb", "Rb", "Rb", "S", "S", "S", "S", "Cl", "Cl", "Cl", "Cl"],
  "fractional_positions": [[0.0021, 0.2062, 0.4043], [0.0063, 0.3746, 0.8378], [0.2062, 0.0021, 0.9043], [0.3510, 0.4029, 0.4293], [0.3746, 0.0063, 0.3378], [0.4029, 0.3510, 0.9293], [0.5971, 0.6490, 0.0707], [0.6254, 0.9937, 0.6622], [0.6490, 0.5971, 0.5707], [0.7938, 0.9979, 0.0957], [0.9937, 0.6254, 0.1622], [0.9979, 0.7938, 0.5957], [0.1879, 0.2912, 0.1530], [0.2912, 0.1879, 0.6530], [0.7088, 0.8121, 0.3470], [0.8121, 0.7088, 0.8470], [0.1241, 0.8759, 0.2500], [0.3471, 0.6529, 0.7500], [0.6529, 0.3471, 0.2500], [0.8759, 0.1241, 0.7500]],
  "raw_formation_energy_kj_per_mol_atoms": -125,
  "energy_ev_per_atom": -3.07,
  "relative_energy_mev_per_atom": 0
}

***

# 5
{
  "formula": "RbS3Cl",
  "functional": "PBE",
  "state": "relaxed",
  "lattice": [[6.4920, 0.0000, 0.0000], [0.0000, 6.4920, 0.0000], [0.0000, 0.0000, 6.4920]],
  "species": ["Rb", "S", "S", "S", "Cl"],
  "fractional_positions": [[0.0000, 0.0000, 0.0000], [0.0000, 0.0000, 0.5000], [0.0000, 0.5000, 0.0000], [0.5000, 0.0000, 0.0000], [0.5000, 0.5000, 0.5000]],
  "raw_formation_energy_kj_per_mol_atoms": 112,
  "energy_ev_per_atom": -1.88,
  "relative_energy_mev_per_atom": 1686
}

***

# 6
{
  "formula": "RbS2Cl",
  "functional": "PBE",
  "state": "relaxed",
  "lattice": [[0.0000, 3.8634, 3.8634], [3.8634, 0.0000, 3.8634], [3.8634, 3.8634, 0.0000]],
  "species": ["Rb", "S", "S", "Cl"],
  "fractional_positions": [[0.0000, 0.0000, 0.0000], [0.2500, 0.2500, 0.2500], [0.7500, 0.7500, 0.7500], [0.5000, 0.5000, 0.5000]],
  "raw_formation_energy_kj_per_mol_atoms": 39,
  "energy_ev_per_atom": -2.36,
  "relative_energy_mev_per_atom": 421
}

***

# 7
{
  "formula": "RbS5Cl",
  "functional": "PBE",
  "state": "relaxed",
  "lattice": [[4.4336, -8.6256, 0.0000], [4.4336, 8.6256, 0.0000], [-3.8839, 0.0000, 6.3952]],
  "species": ["Rb", "Rb", "S", "S", "S", "S", "S", "S", "S", "S", "S", "S", "Cl", "Cl"],
  "fractional_positions": [[0.0000, 0.0000, 0.0000], [0.0000, 0.0000, 0.5000], [0.1967, 0.5695, 0.8705], [0.2577, 0.5007, 0.0906], [0.3883, 0.6117, 0.7500], [0.4305, 0.8033, 0.6295], [0.4993, 0.7423, 0.4094], [0.5007, 0.2577, 0.5906], [0.5695, 0.1967, 0.3705], [0.6117, 0.3883, 0.2500], [0.7423, 0.4993, 0.9094], [0.8033, 0.4305, 0.1295], [0.1376, 0.8624, 0.7500], [0.8624, 0.1376, 0.2500]],
  "raw_formation_energy_kj_per_mol_atoms": -29,
  "energy_ev_per_atom": -3.65
}

***

# 8
{
  "formula": "RbSbS2Cl",
  "functional": "PBE",
  "state": "relaxed",
  "lattice": [[5.1174, 0.0000, 0.0000], [0.0000, 5.1174, 0.0000], [0.0000, 0.0000, 5.5438]],
  "species": ["Rb", "Sb", "S", "S", "Cl"],
  "fractional_positions": [[0.0000, 0.0000, 0.0000], [0.5000, 0.5000, 0.5000], [0.0000, 0.5000, 0.5000], [0.5000, 0.0000, 0.5000], [0.5000, 0.5000, 0.0000]],
  "raw_formation_energy_kj_per_mol_atoms": -62,
  "energy_ev_per_atom": -3.68,
  "relative_energy_mev_per_atom": 0
}

***

# 9
{
  "formula": "RbSbSCl2",
  "functional": "PBE",
  "state": "relaxed",
  "lattice": [[5.6788, 0.0000, 0.0000], [0.0000, 5.6788, 0.0000], [0.0000, 0.0000, 5.6622]],
  "species": ["Rb", "Sb", "S", "Cl", "Cl"],
  "fractional_positions": [[0.0000, 0.0000, 0.0000], [0.5000, 0.5000, 0.5000], [0.0000, 0.0000, 0.5000], [0.0000, 0.5000, 0.0000], [0.5000, 0.0000, 0.0000]],
  "raw_formation_energy_kj_per_mol_atoms": 40,
  "energy_ev_per_atom": -2.17,
  "relative_energy_mev_per_atom": 1372
}

***

# 10
{
  "formula": "RbSbS2Cl",
  "functional": "PBE",
  "state": "relaxed",
  "lattice": [[5.8135, 0.0000, 0.0000], [0.0000, 5.8135, 0.0000], [0.0000, 0.0000, 5.6762]],
  "species": ["Rb", "Sb", "S", "S", "Cl"],
  "fractional_positions": [[0.0000, 0.0000, 0.0000], [0.5000, 0.5000, 0.5000], [0.0000, 0.5000, 0.0000], [0.5000, 0.0000, 0.0000], [0.0000, 0.0000, 0.5000]],
  "raw_formation_energy_kj_per_mol_atoms": 81,
  "energy_ev_per_atom": -2.20,
  "relative_energy_mev_per_atom": 1483
}

***

# 11
{
  "formula": "RbSbSCl2",
  "functional": "PBE",
  "state": "relaxed",
  "lattice": [[5.5082, 0.0000, 0.0000], [0.0000, 5.5082, 0.0000], [0.0000, 0.0000, 5.1315]],
  "species": ["Rb", "Sb", "S", "Cl", "Cl"],
  "fractional_positions": [[0.0000, 0.0000, 0.0000], [0.5000, 0.5000, 0.5000], [0.5000, 0.5000, 0.0000], [0.0000, 0.5000, 0.5000], [0.5000, 0.0000, 0.5000]],
  "raw_formation_energy_kj_per_mol_atoms": -92,
  "energy_ev_per_atom": -3.54,
  "relative_energy_mev_per_atom": 0
}

***

# 12
{
  "formula": "RbSeSCl2",
  "functional": "PBE",
  "state": "relaxed",
  "lattice": [[6.2347, 0.0000, 0.0000], [0.0000, 6.2347, 0.0000], [0.0000, 0.0000, 6.3875]],
  "species": ["Rb", "Se", "S", "Cl", "Cl"],
  "fractional_positions": [[0.0000, 0.0000, 0.0000], [0.5000, 0.5000, 0.5000], [0.0000, 0.0000, 0.5000], [0.0000, 0.5000, 0.0000], [0.5000, 0.0000, 0.0000]],
  "raw_formation_energy_kj_per_mol_atoms": 49,
  "energy_ev_per_atom": -1.95,
  "relative_energy_mev_per_atom": 1091
}

***

V list, top to bottom, in Å³/atom: 34.74 41.09 43.98 42.19 54.72 28.83 34.94 29.04 36.52 38.37 31.14 49.66